w | Entry from the Alexandria database: a geometry-optimized BSbTe2Pt structure (PBE).

Results
symmetry: No. 123

```
5
Lattice="5.469 0.000 0.000 0.000 5.469 0.000 0.000 0.000 5.076" Properties=species:S:1:pos:R:3 pbc="T T T"
B 0.000 0.000 0.000
Sb 2.734 2.734 0.000
Te 0.000 2.734 2.538
Te 2.734 0.000 2.538
Pt 2.734 2.734 2.538
```

x | Entry from the Alexandria database: a geometry-optimized BSbTe2Pt structure (PBE).

Results
symmetry: No. 123

```
5
Lattice="4.732 0.000 0.000 0.000 4.732 0.000 0.000 0.000 4.749" Properties=species:S:1:pos:R:3 pbc="T T T"
B 0.000 0.000 0.000
Sb 0.000 0.000 2.375
Te 0.000 2.366 0.000
Te 2.366 0.000 0.000
Pt 2.366 2.366 2.375
```

It is w that is the least stable of them.

w | Entry from the Alexandria database: a geometry-optimized BSb2TePt structure (PBE).

Results
symmetry: No. 123

```
5
Lattice="4.712 0.000 0.000 0.000 4.712 0.000 0.000 0.000 4.713" Properties=species:S:1:pos:R:3 pbc="T T T"
B 0.000 0.000 0.000
Sb 0.000 2.356 0.000
Sb 2.356 0.000 0.000
Te 0.000 0.000 2.357
Pt 2.356 2.356 2.357
```

x | Entry from the Alexandria database: a geometry-optimized BSb2TePt structure (PBE).

Results
symmetry: No. 123

```
5
Lattice="5.185 0.000 0.000 0.000 5.185 0.000 0.000 0.000 5.565" Properties=species:S:1:pos:R:3 pbc="T T T"
B 0.000 0.000 0.000
Sb 0.000 2.593 2.782
Sb 2.593 0.000 2.782
Te 2.593 2.593 0.000
Pt 2.593 2.593 2.782
```

It is x that is the least stable of them.

w | Entry from the Alexandria database: a geometry-optimized ScB2Pt structure (PBE).

Results
symmetry: No. 141

```
8
Lattice="-1.945 1.945 7.395 1.945 -1.945 7.395 1.945 1.945 -7.395" Properties=species:S:1:pos:R:3 pbc="T T T"
Sc 1.945 0.972 1.849
Sc 0.000 0.972 5.546
B 0.000 0.000 0.000
B 0.972 0.972 -3.698
B 0.972 -0.972 3.698
B 0.000 1.945 0.000
Pt 1.945 -0.972 5.546
Pt 0.000 2.917 1.849
```

x | Entry from the Alexandria database: a geometry-optimized ScB2Pt structure (PBE).

Results
symmetry: No. 225

```
4
Lattice="0.000 2.862 2.862 2.862 0.000 2.862 2.862 2.862 0.000" Properties=species:S:1:pos:R:3 pbc="T T T"
Sc 0.000 0.000 0.000
B 1.431 1.431 1.431
B 4.293 4.293 4.293
Pt 2.862 2.862 2.862
```

It is x that is the least stable of them.